The following is a GGA-PBEsol calculation of a geometry-optimized SbBrO2F structure, from the Alexandria database.

It has space group P4/mmm (No. 123), with a = 3.825 Å, b = 3.825 Å, c = 5.283 Å, α = 90.00°, β = 90.00° and γ = 90.00°. The inequivalent atoms are Sb at (0.000, 0.000, 0.000), Br at (0.500, 0.500, 0.500), O at (0.000, 0.500, 0.500) and F at (0.500, 0.500, 0.000).

Its raw total energy is -3.633 eV/atom. The formation energy without anion corrections is 0.69 eV per formula unit. As for the crystal system: tetragonal.

=====

The following is a GGA-PBEsol calculation of a geometry-optimized SeBrO2F structure, from the Alexandria database.

It has space group P4/mmm (No. 123), with a = 3.955 Å, b = 3.955 Å, c = 4.227 Å, α = 90.00°, β = 90.00° and γ = 90.00°. The inequivalent atoms are Se at (0.000, 0.000, 0.000), Br at (0.500, 0.500, 0.500), O at (0.000, 0.500, 0.000) and F at (0.000, 0.000, 0.500).

Its raw total energy is -3.672 eV/atom. The formation energy without anion corrections is -0.21 eV per formula unit. As for the crystal system: tetragonal.

=====

The following is a GGA-PBEsol calculation of a geometry-optimized Se2BrOF structure, from the Alexandria database.

It has space group P4/mmm (No. 123), with a = 4.254 Å, b = 4.254 Å, c = 4.744 Å, α = 90.00°, β = 90.00° and γ = 90.00°. The inequivalent atoms are Se at (0.000, 0.500, 0.000), Br at (0.000, 0.000, 0.500), O at (0.000, 0.000, 0.000) and F at (0.500, 0.500, 0.500).

Its raw total energy is -2.904 eV/atom. The formation energy without anion corrections is 2.23 eV per formula unit. As for the crystal system: tetragonal.

=====

The following is a GGA-PBEsol calculation of a geometry-optimized SiBrOF2 structure, from the Alexandria database.

It has space group P4/mmm (No. 123), with a = 4.499 Å, b = 4.499 Å, c = 3.933 Å, α = 90.00°, β = 90.00° and γ = 90.00°. The inequivalent atoms are Si at (0.000, 0.000, 0.000), Br at (0.500, 0.500, 0.500), O at (0.500, 0.500, 0.000) and F at (0.000, 0.500, 0.500).

Its raw total energy is -3.157 eV/atom. The formation energy without anion corrections is 0.94 eV per formula unit. As for the crystal system: tetragonal.

=====

The following is a GGA-PBEsol calculation of a geometry-optimized SnBrO2F structure, from the Alexandria database.

It has space group P4/mmm (No. 123), with a = 4.072 Å, b = 4.072 Å, c = 4.173 Å, α = 90.00°, β = 90.00° and γ = 90.00°. The inequivalent atoms are Sn at (0.000, 0.000, 0.000), Br at (0.500, 0.500, 0.500), O at (0.000, 0.500, 0.000) and F at (0.000, 0.000, 0.500).

Its raw total energy is -4.513 eV/atom. The formation energy without anion corrections is -4.01 eV per formula unit. As for the crystal system: tetragonal.

=====

The following is a GGA-PBEsol calculation of a geometry-optimized SnBrO2F structure, from the Alexandria database.

It has space group P4/mmm (No. 123), with a = 3.893 Å, b = 3.893 Å, c = 5.108 Å, α = 90.00°, β = 90.00° and γ = 90.00°. The inequivalent atoms are Sn at (0.000, 0.000, 0.000), Br at (0.500, 0.500, 0.500), O at (0.000, 0.500, 0.500) and F at (0.500, 0.500, 0.000).

Its raw total energy is -3.914 eV/atom. The formation energy without anion corrections is -1.02 eV per formula unit. As for the crystal system: tetragonal.

=====

Which formula does entry 6 have? SnBrO2F

=====

Repeat the sixth record exactly.
The following is a GGA-PBEsol calculation of a geometry-optimized SnBrO2F structure, from the Alexandria database.

It has space group P4/mmm (No. 123), with a = 3.893 Å, b = 3.893 Å, c = 5.108 Å, α = 90.00°, β = 90.00° and γ = 90.00°. The inequivalent atoms are Sn at (0.000, 0.000, 0.000), Br at (0.500, 0.500, 0.500), O at (0.000, 0.500, 0.500) and F at (0.500, 0.500, 0.000).

Its raw total energy is -3.914 eV/atom. The formation energy without anion corrections is -1.02 eV per formula unit. As for the crystal system: tetragonal.